Entry from the Alexandria database: an optimized crystal structure of Hf8Ga2Pb (PBE).

DOS(E_F) ... 0.821 states/eV/atom
Total energy ... -90.04 eV per cell
M_tot ... 0.00 μB/f.u.

abc: 5.274 7.381 7.381
angles: 116.03 100.44 100.44
Positions (direct):
Hf 0.877 0.917 0.678
Hf 0.877 0.678 0.917
Hf 0.300 0.584 0.584
Hf 0.500 0.757 0.243
Hf 0.500 0.243 0.757
Hf 0.700 0.416 0.416
Hf 0.123 0.322 0.083
Hf 0.123 0.083 0.322
Ga 0.000 0.307 0.693
Ga 0.000 0.693 0.307
Pb 0.500 0.000 0.000